[1]
First-principles (GGA-PBE) data for a geometry-optimized Cs2CuSnCl5 structure, as listed in the Alexandria database.

Values from the calculation:
Its magnetic moment is 0.00 Bohr magnetons per cell. The calculated density is 3470 kg/m³. The total energy comes out at -123.76 eV/cell. The volume comes out at 33.25 Å³/atom.

Cell: 4.215 20.248 14.024 Å, 90.00 90.00 90.00°
Space group Cmc2_1 (No. 36)
Inequivalent atoms, fractional coordinates:
Cs: 0.000 0.117 0.000 [4 per cell]
Cs: 0.000 0.121 0.611 [4 per cell]
Cu: 0.000 0.472 0.783 [4 per cell]
Sn: 0.000 0.202 0.307 [4 per cell]
Cl: 0.000 0.033 0.352 [4 per cell]
Cl: 0.000 0.292 0.946 [4 per cell]
Cl: 0.000 0.293 0.667 [4 per cell]
Cl: 0.000 0.331 0.307 [4 per cell]
Cl: 0.000 0.489 0.623 [4 per cell]

[2]
First-principles (GGA-PBE) data for a geometry-optimized Be2Cr4N structure, as listed in the Alexandria database.

Values from the calculation:
Its magnetic moment is 9.01 Bohr magnetons per cell. The calculated density is 4926 kg/m³. The total energy comes out at -106.20 eV/cell. The volume comes out at 11.56 Å³/atom.

Cell: 3.665 3.665 12.046 Å, 90.00 90.00 90.00°
Space group I4/mmm (No. 139)
Inequivalent atoms, fractional coordinates:
Be: 0.000 0.000 0.133 [4 per cell]
Cr: 0.000 0.000 0.331 [4 per cell]
Cr: 0.000 0.500 0.000 [4 per cell]
N: 0.000 0.000 0.500 [2 per cell]